# 1
A plane-wave DFT calculation with PBE-GGA was carried out for a geometry-optimized AlInIr3 structure.

Cell: 4.8192 4.8192 4.8192 Å, 90.00 90.00 90.00°
Closest atoms and distances in Å follow each position.
Element x y z (fractional)
Ir  0.0000  0.5000  0.0000  2 In 2.41
Ir  0.5000  0.0000  0.0000  2 In 2.41
In  0.0000  0.0000  0.0000  6 Ir 2.41
Al  0.5000  0.5000  0.5000  12 Ir 3.41
Ir  0.0000  0.0000  0.5000  2 In 2.41

Summary:
* magnetization: 0.00 Bohr magnetons per cell
* ΔH_f (0 K): 1.87 eV/atom
* ΔE to the lowest computed polymorph: 1.1982 eV/atom

---

# 2
A plane-wave DFT calculation with PBE-GGA was carried out for a geometry-optimized AlIn2Ir structure.

Cell: 4.7442 4.7442 4.7442 Å, 60.00 60.00 60.00°
Closest atoms and distances in Å follow each position.
Element x y z (fractional)
In  0.2500  0.2500  0.2500  4 In 2.91, 4 Al 2.91
Al  0.5000  0.5000  0.5000  4 In 2.91, 4 Ir 2.91
In  0.0000  0.0000  0.0000  4 Ir 2.91, 4 In 2.91
Ir  0.7500  0.7500  0.7500  4 In 2.91, 4 Al 2.91

Summary:
* magnetization: 0.00 Bohr magnetons per cell
* ΔH_f (0 K): 0.19 eV/atom

---

# 3
A plane-wave DFT calculation with PBE-GGA was carried out for a geometry-optimized AlIn2Ir structure.

Cell: 3.1994 4.8782 4.7992 Å, 90.00 90.00 90.00°
Closest atoms and distances in Å follow each position.
Element x y z (fractional)
Al  0.0000  0.5000  0.5000  4 In 2.88, 4 Ir 2.92, 2 Al 3.20
In  0.0000  0.0000  0.0000  4 Ir 2.88, 6 In 2.92-3.20
Ir  0.5000  0.0000  0.5000  4 In 2.88, 4 Al 2.92, 2 Ir 3.20
In  0.5000  0.5000  0.0000  4 Al 2.88, 6 In 2.92-3.20

Summary:
* magnetization: 0.00 Bohr magnetons per cell
* ΔH_f (0 K): 0.20 eV/atom

---

# 4
A plane-wave DFT calculation with PBE-GGA was carried out for a geometry-optimized AlIn4Ir structure.

Cell: 5.8291 5.8291 5.8291 Å, 60.00 60.00 60.00°
Closest atoms and distances in Å follow each position.
Element x y z (fractional)
Ir  0.7500  0.7500  0.7500  12 In 3.42, 4 Al 3.57
Al  0.0000  0.0000  0.0000  12 In 3.42, 4 Ir 3.57
In  0.8737  0.3754  0.3754  6 In 2.90-2.92
In  0.3754  0.3754  0.8737  6 In 2.90-2.92
In  0.3754  0.8737  0.3754  6 In 2.90-2.92
In  0.3754  0.3754  0.3754  6 In 2.90-2.92

Summary:
* magnetization: 0.00 Bohr magnetons per cell
* ΔH_f (0 K): 0.69 eV/atom

---

# 5
A plane-wave DFT calculation with PBE-GGA was carried out for a geometry-optimized AlIn2Ir structure.

Cell: 4.8566 4.8566 3.1952 Å, 90.00 90.00 90.00°
Closest atoms and distances in Å follow each position.
Element x y z (fractional)
Ir  0.5000  0.0000  0.5000  8 In 2.91, 2 Ir 3.20
In  0.5000  0.5000  0.0000  4 Al 2.91, 4 Ir 2.91, 2 In 3.20
In  0.0000  0.0000  0.0000  4 Ir 2.91, 4 Al 2.91, 2 In 3.20
Al  0.0000  0.5000  0.5000  8 In 2.91, 2 Al 3.20

Summary:
* magnetization: 0.00 Bohr magnetons per cell
* ΔH_f (0 K): 0.21 eV/atom

---

# 6
A plane-wave DFT calculation with PBE-GGA was carried out for a geometry-optimized AlIn2Ir structure.

Cell: 4.1282 3.8734 5.3536 Å, 68.79 90.00 90.00°
Closest atoms and distances in Å follow each position.
Element x y z (fractional)
In  0.5000  0.2780  0.3190  3 Al 2.79-2.93, 4 Ir 2.96
Al  0.5000  0.5577  0.7594  2 Ir 2.45
In  0.0000  0.9735  0.9283  3 Ir 2.82-2.91, 4 Al 2.95
Ir  0.0000  0.6908  0.4933  2 Al 2.45

Summary:
* magnetization: 0.00 Bohr magnetons per cell
* ΔH_f (0 K): -0.13 eV/atom

---

# 7
A plane-wave DFT calculation with PBE-GGA was carried out for a geometry-optimized Al2InIr structure.

Cell: 2.9496 2.9504 8.1167 Å, 90.00 90.00 90.00°
Closest atoms and distances in Å follow each position.
Element x y z (fractional)
Al  0.0000  0.0000  0.5557  4 Ir 2.61
Ir  0.5000  0.5000  0.7500  8 Al 2.61
Al  0.0000  0.0000  0.9443  4 Ir 2.61
In  0.5000  0.5000  0.2500  4 In 2.95, 8 Al 3.24

Summary:
* magnetization: 0.00 Bohr magnetons per cell
* ΔH_f (0 K): -0.35 eV/atom

---

# 8
A plane-wave DFT calculation with PBE-GGA was carried out for a geometry-optimized Al2InIr structure.

Cell: 4.5687 4.5687 4.5687 Å, 60.00 60.00 60.00°
Closest atoms and distances in Å follow each position.
Element x y z (fractional)
Al  0.2500  0.2500  0.2500  4 In 2.80, 4 Al 2.80
Al  0.0000  0.0000  0.0000  4 Al 2.80, 4 Ir 2.80
Ir  0.7500  0.7500  0.7500  4 Al 2.80, 4 In 2.80
In  0.5000  0.5000  0.5000  4 Ir 2.80, 4 Al 2.80

Summary:
* magnetization: 0.00 Bohr magnetons per cell
* ΔH_f (0 K): 0.03 eV/atom

---

# 9
A plane-wave DFT calculation with PBE-GGA was carried out for a geometry-optimized LiAlInIr structure.

Cell: 4.4622 4.4622 4.4622 Å, 60.00 60.00 60.00°
Closest atoms and distances in Å follow each position.
Element x y z (fractional)
Al  0.7500  0.7500  0.7500  4 Li 2.73, 4 Ir 2.73
Ir  0.5000  0.5000  0.5000  4 In 2.73, 4 Al 2.73
Li  0.0000  0.0000  0.0000  4 In 2.73, 4 Al 2.73
In  0.2500  0.2500  0.2500  4 Li 2.73, 4 Ir 2.73

Summary:
* magnetization: 0.00 Bohr magnetons per cell
* ΔH_f (0 K): -0.45 eV/atom

---

# 10
A plane-wave DFT calculation with PBE-GGA was carried out for a geometry-optimized LiAlInIr2 structure.

Cell: 4.5526 4.9325 4.5526 Å, 90.00 90.00 90.00°
Closest atoms and distances in Å follow each position.
Element x y z (fractional)
Li  0.5000  0.5000  0.5000  4 In 3.22, 8 Ir 3.36
In  0.0000  0.5000  0.0000  2 Al 2.47
Ir  0.5000  0.0000  0.0000  2 Al 2.28
Al  0.0000  0.0000  0.0000  4 Ir 2.28, 2 In 2.47
Ir  0.0000  0.0000  0.5000  2 Al 2.28

Summary:
* magnetization: 0.00 Bohr magnetons per cell
* ΔH_f (0 K): 0.62 eV/atom

---

# 11
A plane-wave DFT calculation with PBE-GGA was carried out for a geometry-optimized AlInNiIr structure.

Cell: 4.3937 4.3937 4.3937 Å, 60.00 60.00 60.00°
Closest atoms and distances in Å follow each position.
Element x y z (fractional)
Al  0.7500  0.7500  0.7500  4 Ni 2.69, 4 Ir 2.69
Ni  0.0000  0.0000  0.0000  4 In 2.69, 4 Al 2.69
Ir  0.5000  0.5000  0.5000  4 Al 2.69, 4 In 2.69
In  0.2500  0.2500  0.2500  4 Ir 2.69, 4 Ni 2.69

Summary:
* magnetization: 0.00 Bohr magnetons per cell
* ΔH_f (0 K): -0.34 eV/atom

---

# 12
A plane-wave DFT calculation with PBE-GGA was carried out for a geometry-optimized Al2InIrPd structure.

Cell: 4.6409 5.2457 4.6409 Å, 90.00 90.00 90.00°
Closest atoms and distances in Å follow each position.
Element x y z (fractional)
Al  0.5000  0.0000  0.0000  2 Ir 2.32
Ir  0.0000  0.0000  0.0000  4 Al 2.32
Al  0.0000  0.0000  0.5000  2 Ir 2.32
Pd  0.0000  0.5000  0.0000  2 Ir 2.62
In  0.5000  0.5000  0.5000  4 Pd 3.28, 8 Al 3.50

Summary:
* magnetization: 0.00 Bohr magnetons per cell
* ΔH_f (0 K): 0.12 eV/atom

---

no.,density of states at the Fermi level (states/eV/f.u.)
1,6.6
2,1.6
3,1.8
4,6.3
5,1.4
6,1.5
7,1.3
8,2.2
9,1.6
10,2.7
11,3.1
12,3.3